Compound: Rb3CdAg
Source: the Alexandria database
Functional: PBE
Structure: relaxed

- formation enthalpy at 0 K (kJ/mol of atoms) = 1
- distance to the lowest polymorph of the same formula (meV per atom) = 0
- crystal system = monoclinic
- calculated total energy (eV per atom) = -1.33

```
data_Rb3CdAg
_chemical_formula_sum 'Rb6 Cd2 Ag2'
_cell_length_a 4.9977
_cell_length_b 11.7553
_cell_length_c 8.8636
_cell_angle_alpha 90.00
_cell_angle_beta 90.09
_cell_angle_gamma 90.00
_space_group_name_H-M_alt 'P 1 21/m 1'
_space_group_IT_number 11
loop_
_space_group_symop_operation_xyz
'x,y,z'
'-x,-y,-z'
'-x,y+1/2,-z'
'x,-y+1/2,z'
loop_
_atom_site_label
_atom_site_type_symbol
_atom_site_fract_x
_atom_site_fract_y
_atom_site_fract_z
_atom_site_occupancy
Rb1 Rb 0.2450 0.2500 0.4554 1
Rb2 Rb 0.2533 0.5411 0.1899 1
Cd1 Cd 0.2464 0.2500 0.9870 1
Ag1 Ag 0.2533 0.7500 0.8620 1
```

Compound: CoIr2Rh
Source: the Alexandria database
Functional: PBE
Structure: relaxed

- formation enthalpy at 0 K (kJ/mol of atoms) = 5
- distance to the lowest polymorph of the same formula (meV per atom) = 41
- crystal system = tetragonal
- calculated total energy (eV per atom) = -7.99

```
data_CoIr2Rh
_chemical_formula_sum 'Co1 Ir2 Rh1'
_cell_length_a 3.7822
_cell_length_b 3.7822
_cell_length_c 3.7792
_cell_angle_alpha 90.00
_cell_angle_beta 90.00
_cell_angle_gamma 90.00
_space_group_name_H-M_alt 'P 4/m m m'
_space_group_IT_number 123
_space_group_name_Hall '-P 4 2'
loop_
_atom_site_label
_atom_site_type_symbol
_atom_site_fract_x
_atom_site_fract_y
_atom_site_fract_z
_atom_site_occupancy
Co1 Co 0.0000 0.0000 0.0000 1
Ir1 Ir 0.0000 0.5000 0.5000 1
Rh1 Rh 0.5000 0.5000 0.0000 1
```

Compound: Ba2ZnCl2O2
Source: the Alexandria database
Functional: PBE
Structure: relaxed

- formation energy (no corrections) (eV/atom) = -2.21
- crystal system = tetragonal
- calculated total energy (eV per atom) = -4.89

```
data_Ba2ZnCl2O2
_chemical_formula_sum 'Ba4 Zn2 Cl4 O4'
_cell_length_a 4.2541
_cell_length_b 4.2541
_cell_length_c 16.4091
_cell_angle_alpha 90.00
_cell_angle_beta 90.00
_cell_angle_gamma 90.00
_space_group_name_H-M_alt 'I 4/m m m'
_space_group_IT_number 139
_space_group_name_Hall '-I 4 2'
loop_
_atom_site_label
_atom_site_type_symbol
_atom_site_fract_x
_atom_site_fract_y
_atom_site_fract_z
_atom_site_occupancy
Ba1 Ba 0.0000 0.0000 0.1096 1
Zn1 Zn 0.0000 0.0000 0.5000 1
Cl1 Cl 0.0000 0.0000 0.3207 1
O1 O 0.0000 0.5000 0.0000 1
```

Compound: Cd2CoNi
Source: the Alexandria database
Functional: PBE
Structure: relaxed

- formation enthalpy at 0 K (kJ/mol of atoms) = 22
- distance to the lowest polymorph of the same formula (meV per atom) = 73
- crystal system = orthorhombic
- calculated total energy (eV per atom) = -3.45

```
data_Cd2CoNi
_chemical_formula_sum 'Cd4 Co2 Ni2'
_cell_length_a 2.9139
_cell_length_b 4.5973
_cell_length_c 9.3947
_cell_angle_alpha 90.00
_cell_angle_beta 90.00
_cell_angle_gamma 90.00
_space_group_name_H-M_alt 'I m m 2'
_space_group_IT_number 44
loop_
_space_group_symop_operation_xyz
'x,y,z'
'-x,-y,z'
'-x,y,z'
'x,-y,z'
'x+1/2,y+1/2,z+1/2'
'-x+1/2,-y+1/2,z+1/2'
'-x+1/2,y+1/2,z+1/2'
'x+1/2,-y+1/2,z+1/2'
loop_
_atom_site_label
_atom_site_type_symbol
_atom_site_fract_x
_atom_site_fract_y
_atom_site_fract_z
_atom_site_occupancy
Cd1 Cd 0.0000 0.0000 0.0000 1
Cd2 Cd 0.0000 0.5000 0.2168 1
Co1 Co 0.0000 0.5000 0.7590 1
Ni1 Ni 0.0000 0.0000 0.4625 1
```

Compound: KNaSb4
Source: the Alexandria database
Functional: PBE
Structure: relaxed

- formation energy (no corrections) (eV/atom) = -0.12
- crystal system = cubic
- calculated total energy (eV per atom) = -3.27

```
data_KNaSb4
_chemical_formula_sum 'K4 Na4 Sb16'
_cell_length_a 9.1878
_cell_length_b 9.1878
_cell_length_c 9.1878
_cell_angle_alpha 90.00
_cell_angle_beta 90.00
_cell_angle_gamma 90.00
_space_group_name_H-M_alt 'F -4 3 m'
_space_group_IT_number 216
_space_group_name_Hall 'F -4 2 3'
loop_
_atom_site_label
_atom_site_type_symbol
_atom_site_fract_x
_atom_site_fract_y
_atom_site_fract_z
_atom_site_occupancy
K1 K 0.0000 0.0000 0.0000 1
Na1 Na 0.2500 0.2500 0.7500 1
Sb1 Sb 0.1246 0.1246 0.3754 1
```

Compound: CaSnRh
Source: the Alexandria database
Functional: PBE
Structure: relaxed

- formation enthalpy at 0 K (kJ/mol of atoms) = -54
- crystal system = tetragonal
- calculated total energy (eV per atom) = -5.01

```
data_CaSnRh
_chemical_formula_sum 'Ca2 Sn2 Rh2'
_cell_length_a 3.4469
_cell_length_b 3.4469
_cell_length_c 11.0746
_cell_angle_alpha 90.00
_cell_angle_beta 90.00
_cell_angle_gamma 90.00
_space_group_name_H-M_alt 'I 4 m m'
_space_group_IT_number 107
_space_group_name_Hall 'I 4 -2'
loop_
_atom_site_label
_atom_site_type_symbol
_atom_site_fract_x
_atom_site_fract_y
_atom_site_fract_z
_atom_site_occupancy
Ca1 Ca 0.0000 0.0000 0.0000 1
Sn1 Sn 0.0000 0.0000 0.2910 1
Rh1 Rh 0.0000 0.0000 0.6803 1
```

Compound: Tl16ZnSn12
Source: the Alexandria database
Functional: PBE
Structure: relaxed

- formation enthalpy at 0 K (kJ/mol of atoms) = 2
- crystal system = monoclinic
- calculated total energy (eV per atom) = -2.99

```
data_Tl16ZnSn12
_chemical_formula_sum 'Tl32 Zn2 Sn24'
_cell_length_a 11.9968
_cell_length_b 17.1172
_cell_length_c 10.3116
_cell_angle_alpha 90.00
_cell_angle_beta 124.52
_cell_angle_gamma 90.00
_space_group_name_H-M_alt 'C 1 m 1'
_space_group_IT_number 8
loop_
_space_group_symop_operation_xyz
'x,y,z'
'x,-y,z'
'x+1/2,y+1/2,z'
'x+1/2,-y+1/2,z'
loop_
_atom_site_label
_atom_site_type_symbol
_atom_site_fract_x
_atom_site_fract_y
_atom_site_fract_z
_atom_site_occupancy
Tl1 Tl 0.0000 0.0000 0.0000 1
Tl2 Tl 0.9997 0.0000 0.3627 1
Tl3 Tl 0.0108 0.3037 0.6689 1
Tl4 Tl 0.0418 0.3624 0.3661 1
Tl5 Tl 0.1991 0.2015 0.0398 1
Tl6 Tl 0.3151 0.0000 0.0673 1
Tl7 Tl 0.3183 0.3231 0.3583 1
Tl8 Tl 0.3398 0.3389 0.7588 1
Tl9 Tl 0.3752 0.0000 0.7072 1
Tl10 Tl 0.4413 0.1537 0.9567 1
Zn1 Zn 0.1324 0.5000 0.6790 1
Sn1 Sn 0.0858 0.0915 0.7203 1
Sn2 Sn 0.1408 0.5000 0.1845 1
Sn3 Sn 0.1790 0.1808 0.5426 1
Sn4 Sn 0.2284 0.4084 0.9851 1
Sn5 Sn 0.2697 0.0886 0.3513 1
Sn6 Sn 0.3010 0.5000 0.5486 1
Sn7 Sn 0.4946 0.3156 0.1729 1
```

Compound: CrNi2Pt
Source: the Alexandria database
Functional: PBE
Structure: relaxed

- formation enthalpy at 0 K (kJ/mol of atoms) = 1
- crystal system = cubic
- calculated total energy (eV per atom) = -6.80

```
data_CrNi2Pt
_chemical_formula_sum 'Cr4 Ni8 Pt4'
_cell_length_a 5.8822
_cell_length_b 5.8822
_cell_length_c 5.8822
_cell_angle_alpha 90.00
_cell_angle_beta 90.00
_cell_angle_gamma 90.00
_space_group_name_H-M_alt 'F m -3 m'
_space_group_IT_number 225
_space_group_name_Hall '-F 4 2 3'
loop_
_atom_site_label
_atom_site_type_symbol
_atom_site_fract_x
_atom_site_fract_y
_atom_site_fract_z
_atom_site_occupancy
Cr1 Cr 0.0000 0.0000 0.0000 1
Ni1 Ni 0.2500 0.2500 0.2500 1
Pt1 Pt 0.0000 0.0000 0.5000 1
```